A plane-wave DFT calculation with PBE was carried out for Ag2WCl6 after structural relaxation.

a b c (Å): 6.982 6.497 12.225
angles (deg): 90.00 121.92 90.00
Atoms (fractional coordinates):
Ag: 0.191 0.001 0.215
Ag: 0.191 0.499 0.715
Ag: 0.809 0.501 0.285
Ag: 0.809 0.999 0.785
W: 0.500 0.000 0.000
W: 0.500 0.500 0.500
Cl: 0.191 0.117 0.793
Cl: 0.191 0.383 0.293
Cl: 0.232 0.674 0.533
Cl: 0.232 0.826 0.033
Cl: 0.461 0.200 0.597
Cl: 0.461 0.300 0.097
Cl: 0.539 0.700 0.903
Cl: 0.539 0.800 0.403
Cl: 0.768 0.174 0.967
Cl: 0.768 0.326 0.467
Cl: 0.809 0.617 0.707
Cl: 0.809 0.883 0.207

Calculated values
- Electronic total energy: -3.9205 eV per atom
- Space group: No. 14
- Density of states at the Fermi level: 0.626 states/eV/atom
- Spin magnetization: 0.222 μB/atom

***

A plane-wave DFT calculation with PBE was carried out for AgW2Cl after structural relaxation.

a b c (Å): 2.885 2.885 9.521
angles (deg): 90.00 90.00 121.59
Atoms (fractional coordinates):
Ag: 0.000 0.000 0.000
W: 0.500 0.500 0.264
W: 0.500 0.500 0.736
Cl: 0.000 0.000 0.500

Calculated values
- Electronic total energy: -6.7442 eV per atom
- Space group: No. 65
- Density of states at the Fermi level: 1.011 states/eV/atom
- Energy above the lowest structure with this stoichiometry: 655 meV/atom
- Spin magnetization: 0.000 μB/atom

***

A plane-wave DFT calculation with PBE was carried out for AgW2Cl after structural relaxation.

a b c (Å): 2.879 2.879 9.241
angles (deg): 90.00 90.00 90.00
Atoms (fractional coordinates):
Ag: 0.000 0.000 0.000
W: 0.000 0.000 0.562
W: 0.500 0.500 0.770
Cl: 0.500 0.500 0.379

Calculated values
- Electronic total energy: -7.1541 eV per atom
- Space group: No. 99
- Density of states at the Fermi level: 0.887 states/eV/atom
- Energy above the lowest structure with this stoichiometry: 245 meV/atom
- Spin magnetization: 0.000 μB/atom

***

Looking at formation energy (no corrections) for the records above, in order, we have -0.62, 0.91, 0.50 eV per atom.